(1)
{"formula": "Ba4SrLa3Te8", "functional": "PBE-GGA", "state": "optimized geometry", "e_form_raw_ev_per_atom": -1.684, "spacegroup": "R-3m", "lattice_angstrom": [[4.7631, 2.7500, 7.9202], [-4.7631, 2.7500, 7.9202], [0.0000, -5.5000, 7.9202]], "species": ["Ba", "Ba", "Ba", "Ba", "Sr", "La", "La", "La", "Te", "Te", "Te", "Te", "Te", "Te", "Te", "Te"], "fractional_positions": [[0.0000, 0.0000, 0.0000], [0.0000, 0.5000, 0.5000], [0.5000, 0.0000, 0.5000], [0.5000, 0.5000, 0.0000], [0.5000, 0.5000, 0.5000], [0.0000, 0.0000, 0.5000], [0.0000, 0.5000, 0.0000], [0.5000, 0.0000, 0.0000], [0.2392, 0.7451, 0.7451], [0.2427, 0.2427, 0.2427], [0.2549, 0.2549, 0.7608], [0.2549, 0.7608, 0.2549], [0.7451, 0.2392, 0.7451], [0.7451, 0.7451, 0.2392], [0.7573, 0.7573, 0.7573], [0.7608, 0.2549, 0.2549]]}

(2)
{"formula": "Ba2SrLa2Tl5", "functional": "PBE-GGA", "state": "optimized geometry", "spacegroup": "P4/mbm", "delta_e_f_mev_per_atom": -291, "lattice_angstrom": [[13.0718, 0.0000, 0.0000], [0.0000, 13.0718, 0.0000], [0.0000, 0.0000, 4.3380]], "species": ["Ba", "Ba", "Ba", "Ba", "Sr", "Sr", "La", "La", "La", "La", "Tl", "Tl", "Tl", "Tl", "Tl", "Tl", "Tl", "Tl", "Tl", "Tl"], "fractional_positions": [[0.1726, 0.3274, 0.0000], [0.3274, 0.8274, 0.0000], [0.6726, 0.1726, 0.0000], [0.8274, 0.6726, 0.0000], [0.0000, 0.0000, 0.0000], [0.5000, 0.5000, 0.0000], [0.1303, 0.6303, 0.0000], [0.3697, 0.1303, 0.0000], [0.6303, 0.8697, 0.0000], [0.8697, 0.3697, 0.0000], [0.0000, 0.5000, 0.5000], [0.0731, 0.8143, 0.5000], [0.1857, 0.0731, 0.5000], [0.3143, 0.5731, 0.5000], [0.4269, 0.3143, 0.5000], [0.5000, 0.0000, 0.5000], [0.5731, 0.6857, 0.5000], [0.6857, 0.4269, 0.5000], [0.8143, 0.9269, 0.5000], [0.9269, 0.1857, 0.5000]]}

(3)
{"formula": "BaSr2LaTl4", "functional": "PBE-GGA", "state": "optimized geometry", "spacegroup": "R-3m", "delta_e_f_mev_per_atom": -408, "lattice_angstrom": [[2.9118, 1.6811, 9.5255], [-2.9118, 1.6811, 9.5255], [0.0000, -3.3623, 9.5255]], "species": ["Ba", "Sr", "Sr", "La", "Tl", "Tl", "Tl", "Tl"], "fractional_positions": [[0.0000, 0.0000, 0.0000], [0.2504, 0.2504, 0.2504], [0.7496, 0.7496, 0.7496], [0.5000, 0.5000, 0.5000], [0.1276, 0.1276, 0.1276], [0.3810, 0.3810, 0.3810], [0.6190, 0.6190, 0.6190], [0.8724, 0.8724, 0.8724]]}

(4)
{"formula": "BaSrLa2V", "functional": "PBE-GGA", "state": "optimized geometry", "spacegroup": "P4/mmm", "delta_e_f_mev_per_atom": 1219, "lattice_angstrom": [[6.1584, 0.0000, 0.0000], [0.0000, 6.1584, 0.0000], [0.0000, 0.0000, 5.1637]], "species": ["Ba", "Sr", "La", "La", "V"], "fractional_positions": [[0.0000, 0.0000, 0.0000], [0.5000, 0.5000, 0.5000], [0.0000, 0.5000, 0.5000], [0.5000, 0.0000, 0.5000], [0.5000, 0.5000, 0.0000]]}

(5)
{"formula": "Ba2SrLaY", "functional": "PBE-GGA", "state": "optimized geometry", "spacegroup": "P4/mmm", "delta_e_f_mev_per_atom": 472, "lattice_angstrom": [[6.6341, 0.0000, 0.0000], [0.0000, 6.6341, 0.0000], [0.0000, 0.0000, 6.1105]], "species": ["Ba", "Ba", "Sr", "La", "Y"], "fractional_positions": [[0.0000, 0.5000, 0.0000], [0.5000, 0.0000, 0.0000], [0.0000, 0.0000, 0.5000], [0.5000, 0.5000, 0.5000], [0.5000, 0.5000, 0.0000]]}

(6)
{"formula": "BaLaTa2", "functional": "PBE-GGA", "state": "optimized geometry", "spacegroup": "I-42d", "delta_e_f_mev_per_atom": 1374, "lattice_angstrom": [[-2.4197, 2.4197, 10.9544], [2.4197, -2.4197, 10.9544], [2.4197, 2.4197, -10.9544]], "species": ["Ba", "Ba", "La", "La", "Ta", "Ta", "Ta", "Ta"], "fractional_positions": [[0.0000, 0.0000, 0.0000], [0.7500, 0.2500, 0.5000], [0.2500, 0.7500, 0.5000], [0.5000, 0.5000, 0.0000], [0.2611, 0.6250, 0.1361], [0.3750, 0.5111, 0.6361], [0.4889, 0.1250, 0.8639], [0.8750, 0.7389, 0.3639]]}

(7)
{"formula": "BaLa2Ta", "functional": "PBE-GGA", "state": "optimized geometry", "spacegroup": "I-42d", "delta_e_f_mev_per_atom": 813, "lattice_angstrom": [[-4.5925, 4.5925, 3.4948], [4.5925, -4.5925, 3.4948], [4.5925, 4.5925, -3.4948]], "species": ["Ba", "Ba", "La", "La", "La", "La", "Ta", "Ta"], "fractional_positions": [[0.0000, 0.0000, 0.0000], [0.7500, 0.2500, 0.5000], [0.2105, 0.1250, 0.5855], [0.3750, 0.7895, 0.9145], [0.5395, 0.6250, 0.4145], [0.8750, 0.4605, 0.0855], [0.2500, 0.7500, 0.5000], [0.5000, 0.5000, 0.0000]]}

(8)
{"formula": "BaLaTa2", "functional": "PBE-GGA", "state": "optimized geometry", "spacegroup": "Immm", "delta_e_f_mev_per_atom": 1053, "lattice_angstrom": [[-2.1714, 2.1925, 5.4330], [2.1714, -2.1925, 5.4330], [2.1714, 2.1925, -5.4330]], "species": ["Ba", "La", "Ta", "Ta"], "fractional_positions": [[0.0000, 0.0000, 0.0000], [0.5000, 0.5000, 0.0000], [0.2502, 0.7502, 0.5000], [0.7498, 0.2498, 0.5000]]}